Record 1
{
  "formula": "YAgBiAu",
  "functional": "PBE",
  "state": "relaxed",
  "formation_enthalpy_0k_ev_per_fu": -1.66,
  "cell": [[-3.588, 0.387, 3.623], [-4.419, -2.525, -0.498], [-1.018, -3.994, 3.027]],
  "species": ["Y", "Au", "Bi", "Ag"],
  "frac_coords": [[0.750, 0.750, 0.750], [0.500, 0.500, 0.500], [0.250, 0.250, 0.250], [0.000, 0.000, 0.000]]
}


Record 2
{
  "formula": "ZrAgBi2Au",
  "functional": "PBE",
  "state": "relaxed",
  "formation_enthalpy_0k_ev_per_fu": 3.89,
  "cell": [[5.609, 0.000, 0.000], [0.000, 5.378, 0.000], [0.000, 0.000, 5.609]],
  "species": ["Zr", "Au", "Bi", "Bi", "Ag"],
  "frac_coords": [[0.000, 0.000, 0.000], [0.500, 0.500, 0.500], [0.000, 0.000, 0.500], [0.500, 0.000, 0.000], [0.000, 0.500, 0.000]]
}


Record 3
{
  "formula": "AgAuBr2",
  "functional": "PBE",
  "state": "relaxed",
  "formation_energy_uncorrected_mev_per_atom": 20.0,
  "de_polymorph_mev_per_atom": 223,
  "cell": [[-1.315, -2.203, 3.246], [0.014, -1.520, -3.848], [7.122, -2.662, 1.078]],
  "species": ["Au", "Br", "Br", "Ag"],
  "frac_coords": [[0.500, 0.500, 0.750], [0.000, 0.000, 0.996], [0.000, 0.000, 0.504], [0.500, 0.500, 0.250]]
}


Record 4
{
  "formula": "AgAuBr",
  "functional": "PBE",
  "state": "relaxed",
  "formation_energy_uncorrected_mev_per_atom": 20.6,
  "de_polymorph_mev_per_atom": 0,
  "cell": [[4.013, 0.000, 0.000], [-2.007, 3.618, 0.000], [0.000, 0.000, 10.212]],
  "species": ["Ag", "Ag", "Au", "Au", "Br", "Br"],
  "frac_coords": [[0.465, 0.931, 0.000], [0.411, 0.822, 0.500], [0.741, 0.483, 0.362], [0.741, 0.483, 0.638], [0.154, 0.307, 0.825], [0.154, 0.307, 0.175]]
}


Record 5
{
  "formula": "AgAuBr2",
  "functional": "PBE",
  "state": "relaxed",
  "formation_energy_uncorrected_mev_per_atom": -2.2,
  "de_polymorph_mev_per_atom": 200,
  "cell": [[-0.025, -1.070, -3.773], [4.745, -5.381, 1.494], [-2.942, -2.400, 0.700]],
  "species": ["Au", "Br", "Br", "Ag"],
  "frac_coords": [[0.000, 0.500, 0.500], [0.000, 0.000, 0.000], [0.500, 0.500, 0.000], [0.500, 0.000, 0.500]]
}


Record 6
{
  "formula": "AgAuBr2",
  "functional": "PBE",
  "state": "relaxed",
  "formation_energy_uncorrected_mev_per_atom": -96.0,
  "de_polymorph_mev_per_atom": 107,
  "cell": [[6.258, 0.000, 0.000], [0.000, 6.258, 0.000], [3.129, 3.129, 6.329]],
  "species": ["Au", "Au", "Br", "Br", "Br", "Br", "Ag", "Ag"],
  "frac_coords": [[0.000, 0.000, 0.000], [0.750, 0.250, 0.500], [0.629, 0.125, 0.250], [0.121, 0.625, 0.250], [0.375, 0.371, 0.750], [0.875, 0.879, 0.750], [0.500, 0.500, 0.000], [0.250, 0.750, 0.500]]
}


Record 7
{
  "formula": "Ag2Au3Br6",
  "functional": "PBE",
  "state": "relaxed",
  "formation_energy_uncorrected_mev_per_atom": -149.0,
  "cell": [[-6.520, -3.950, 0.671], [-2.584, -4.034, -5.214], [4.906, -14.810, 4.122]],
  "species": ["Ag", "Ag", "Ag", "Ag", "Au", "Au", "Au", "Au", "Au", "Au", "Br", "Br", "Br", "Br", "Br", "Br", "Br", "Br", "Br", "Br", "Br", "Br"],
  "frac_coords": [[0.322, 0.855, 0.987], [0.835, 0.355, 0.487], [0.678, 0.145, 0.013], [0.165, 0.645, 0.513], [0.014, 0.989, 0.748], [0.406, 0.250, 0.750], [0.751, 0.511, 0.752], [0.249, 0.489, 0.248], [0.986, 0.011, 0.252], [0.594, 0.750, 0.250], [0.007, 0.866, 0.901], [0.340, 0.221, 0.905], [0.686, 0.506, 0.908], [0.226, 0.366, 0.401], [0.900, 0.006, 0.408], [0.534, 0.721, 0.405], [0.993, 0.134, 0.099], [0.660, 0.779, 0.095], [0.314, 0.494, 0.092], [0.774, 0.634, 0.599], [0.100, 0.994, 0.592], [0.466, 0.279, 0.595]]
}


Record 8
{
  "formula": "Ag2AuBr4",
  "functional": "PBE",
  "state": "relaxed",
  "formation_energy_uncorrected_mev_per_atom": -163.1,
  "cell": [[-5.923, -2.836, -3.328], [-0.347, -5.281, 5.118], [-1.500, 8.604, 3.481]],
  "species": ["Au", "Au", "Br", "Br", "Br", "Br", "Br", "Br", "Br", "Br", "Ag", "Ag", "Ag", "Ag"],
  "frac_coords": [[0.750, 0.250, 0.500], [0.000, 0.000, 0.000], [0.446, 0.037, 0.474], [0.721, 0.813, 0.026], [0.563, 0.554, 0.526], [0.787, 0.279, 0.974], [0.963, 0.971, 0.526], [0.187, 0.696, 0.974], [0.029, 0.437, 0.474], [0.304, 0.213, 0.026], [0.375, 0.125, 0.750], [0.375, 0.625, 0.750], [0.375, 0.625, 0.250], [0.875, 0.625, 0.250]]
}


Record 9
{
  "formula": "AgAuBr2",
  "functional": "PBE",
  "state": "relaxed",
  "formation_energy_uncorrected_mev_per_atom": -59.0,
  "de_polymorph_mev_per_atom": 144,
  "cell": [[-0.332, 0.843, -3.978], [-3.541, -1.318, 1.540], [-1.870, 6.924, 1.624]],
  "species": ["Au", "Br", "Br", "Ag"],
  "frac_coords": [[0.500, 0.500, 0.737], [0.000, 0.000, 0.910], [0.500, 0.500, 0.336], [0.000, 0.000, 0.516]]
}


Record 10
{
  "formula": "Ag2Au2Br",
  "functional": "PBE",
  "state": "relaxed",
  "formation_energy_uncorrected_mev_per_atom": 126.3,
  "de_polymorph_mev_per_atom": 0,
  "cell": [[7.678, 0.000, 0.000], [0.000, 7.678, 0.000], [0.000, 0.000, 3.503]],
  "species": ["Au", "Au", "Au", "Au", "Br", "Br", "Ag", "Ag", "Ag", "Ag"],
  "frac_coords": [[0.369, 0.869, 0.000], [0.869, 0.631, 0.000], [0.631, 0.131, 0.000], [0.131, 0.369, 0.000], [0.000, 0.000, 0.000], [0.500, 0.500, 0.000], [0.162, 0.662, 0.500], [0.662, 0.838, 0.500], [0.838, 0.338, 0.500], [0.338, 0.162, 0.500]]
}


Record 11
{
  "formula": "AgAuBr2",
  "functional": "PBE",
  "state": "relaxed",
  "formation_energy_uncorrected_mev_per_atom": -202.7,
  "de_polymorph_mev_per_atom": 0,
  "cell": [[-6.411, -2.394, -2.084], [-3.969, -5.531, -2.199], [-1.212, -1.106, 4.407]],
  "species": ["Au", "Br", "Br", "Ag"],
  "frac_coords": [[0.250, 0.250, 0.250], [0.110, 0.110, 0.943], [0.390, 0.390, 0.557], [0.750, 0.750, 0.750]]
}


Record 12
{
  "formula": "AgAuBr2",
  "functional": "PBE",
  "state": "relaxed",
  "formation_energy_uncorrected_mev_per_atom": -135.6,
  "de_polymorph_mev_per_atom": 67,
  "cell": [[4.015, 0.000, 0.000], [0.000, 6.843, -0.435], [0.000, 0.073, 4.356]],
  "species": ["Au", "Br", "Br", "Ag"],
  "frac_coords": [[0.500, 0.669, 0.774], [0.000, 0.911, 0.972], [0.500, 0.341, 0.481], [0.000, 0.580, 0.272]]
}


Record 13
{
  "formula": "AgAuBr",
  "functional": "PBE",
  "state": "relaxed",
  "formation_energy_uncorrected_mev_per_atom": 118.9,
  "de_polymorph_mev_per_atom": 98,
  "cell": [[3.601, 0.000, 0.000], [-1.800, 3.119, 0.000], [0.000, 0.000, 5.929]],
  "species": ["Au", "Br", "Ag"],
  "frac_coords": [[0.667, 0.333, 0.319], [0.333, 0.667, 0.675], [0.000, 0.000, 0.006]]
}


Record 14
{
  "formula": "AgAu2Br2",
  "functional": "PBE",
  "state": "relaxed",
  "formation_energy_uncorrected_mev_per_atom": 177.4,
  "de_polymorph_mev_per_atom": 0,
  "cell": [[3.826, 0.000, 0.000], [0.000, 3.826, 0.000], [1.913, 1.913, 8.310]],
  "species": ["Au", "Au", "Br", "Br", "Ag"],
  "frac_coords": [[0.750, 0.250, 0.500], [0.250, 0.750, 0.500], [0.405, 0.405, 0.191], [0.595, 0.595, 0.809], [0.000, 0.000, 0.000]]
}


Record 15
{
  "formula": "Ag4AuBr6",
  "functional": "PBE",
  "state": "relaxed",
  "formation_energy_uncorrected_mev_per_atom": -225.3,
  "cell": [[-2.900, 6.938, -3.449], [-5.543, 4.199, 3.184], [5.998, 10.687, 6.532]],
  "species": ["Ag", "Ag", "Ag", "Ag", "Ag", "Ag", "Ag", "Ag", "Au", "Au", "Br", "Br", "Br", "Br", "Br", "Br", "Br", "Br", "Br", "Br", "Br", "Br"],
  "frac_coords": [[0.255, 0.043, 0.657], [0.046, 0.543, 0.157], [0.781, 0.238, 0.458], [0.524, 0.738, 0.958], [0.854, 0.702, 0.617], [0.828, 0.202, 0.117], [0.710, 0.262, 0.779], [0.249, 0.762, 0.279], [0.771, 0.627, 0.422], [0.179, 0.127, 0.922], [0.388, 0.532, 0.133], [0.947, 0.032, 0.633], [0.453, 0.654, 0.438], [0.454, 0.154, 0.938], [0.579, 0.028, 0.514], [0.879, 0.528, 0.014], [0.937, 0.020, 0.938], [0.104, 0.520, 0.438], [0.016, 0.180, 0.271], [0.533, 0.680, 0.771], [0.119, 0.399, 0.727], [0.755, 0.899, 0.227]]
}


Record 16
{
  "formula": "AgAu2Br8",
  "functional": "PBE",
  "state": "relaxed",
  "formation_energy_uncorrected_mev_per_atom": -58.6,
  "cell": [[7.256, 0.000, 0.000], [0.000, 7.256, 0.000], [-3.628, -3.628, 6.564]],
  "species": ["Ag", "Au", "Au", "Br", "Br", "Br", "Br", "Br", "Br", "Br", "Br"],
  "frac_coords": [[0.500, 0.500, 0.000], [0.750, 0.250, 0.500], [0.250, 0.750, 0.500], [0.789, 0.294, 0.236], [0.057, 0.553, 0.764], [0.706, 0.211, 0.764], [0.211, 0.057, 0.764], [0.447, 0.943, 0.236], [0.943, 0.789, 0.236], [0.294, 0.447, 0.236], [0.553, 0.706, 0.764]]
}


Record 17
{
  "formula": "Ag2Au2Br",
  "functional": "PBE",
  "state": "relaxed",
  "formation_energy_uncorrected_mev_per_atom": 133.0,
  "de_polymorph_mev_per_atom": 7,
  "cell": [[-7.340, -2.164, 1.615], [2.659, -6.608, 3.228], [0.206, 1.565, 3.034]],
  "species": ["Au", "Au", "Au", "Au", "Br", "Br", "Ag", "Ag", "Ag", "Ag"],
  "frac_coords": [[0.128, 0.628, 0.500], [0.628, 0.872, 0.500], [0.872, 0.372, 0.500], [0.372, 0.128, 0.500], [0.000, 0.000, 0.000], [0.500, 0.500, 0.000], [0.335, 0.835, 0.000], [0.835, 0.665, 0.000], [0.665, 0.165, 0.000], [0.165, 0.335, 0.000]]
}


Record 18
{
  "formula": "AgAuBr2",
  "functional": "PBE",
  "state": "relaxed",
  "formation_energy_uncorrected_mev_per_atom": -9.5,
  "de_polymorph_mev_per_atom": 193,
  "cell": [[5.649, 0.096, 0.130], [0.256, 5.644, 0.130], [1.629, 1.584, 3.590]],
  "species": ["Au", "Br", "Br", "Ag"],
  "frac_coords": [[0.000, 0.500, 0.500], [0.000, 0.000, 0.000], [0.500, 0.500, 0.000], [0.500, 0.000, 0.500]]
}


Record 19
{
  "formula": "AgAuBr2",
  "functional": "PBE",
  "state": "relaxed",
  "formation_energy_uncorrected_mev_per_atom": -44.2,
  "de_polymorph_mev_per_atom": 158,
  "cell": [[-3.887, 0.959, 0.677], [-1.664, -7.038, 0.414], [-0.552, -4.770, 3.582]],
  "species": ["Au", "Br", "Br", "Ag"],
  "frac_coords": [[0.000, 0.000, 0.500], [0.000, 0.000, 0.000], [0.500, 0.500, 0.000], [0.500, 0.500, 0.500]]
}


Record 20
{
  "formula": "Ag5AuBr8",
  "functional": "PBE",
  "state": "relaxed",
  "formation_energy_uncorrected_mev_per_atom": -226.1,
  "cell": [[-3.058, 5.167, 5.629], [-2.122, -7.949, -0.208], [8.050, -0.182, 1.700]],
  "species": ["Ag", "Ag", "Ag", "Ag", "Ag", "Au", "Br", "Br", "Br", "Br", "Br", "Br", "Br", "Br"],
  "frac_coords": [[0.848, 0.349, 0.981], [0.651, 0.633, 0.499], [0.367, 0.867, 0.019], [0.500, 0.500, 0.000], [0.133, 0.152, 0.501], [0.250, 0.750, 0.500], [0.119, 0.797, 0.209], [0.203, 0.412, 0.322], [0.704, 0.875, 0.307], [0.125, 0.432, 0.829], [0.603, 0.296, 0.171], [0.090, 0.881, 0.678], [0.588, 0.910, 0.791], [0.568, 0.397, 0.693]]
}


| no. | total magnetization (μB/cell) |
| --- | --- |
| 1 | 0.0 |
| 2 | 0.0 |
| 3 | 0.0 |
| 4 | 0.0 |
| 5 | 0.0 |
| 6 | 0.0 |
| 7 | 0.0 |
| 8 | 0.0 |
| 9 | 0.0 |
| 10 | 0.0 |
| 11 | 0.0 |
| 12 | 0.0 |
| 13 | 0.0 |
| 14 | 0.0 |
| 15 | 0.0 |
| 16 | 0.0 |
| 17 | 0.0 |
| 18 | 0.0 |
| 19 | 0.0 |
| 20 | 0.0 |